First-principles (PBE-GGA) data for crystalline Ba2ZnAgRh at its relaxed geometry, as listed in Alexandria.

Properties
Formation enthalpy at 0 K = -84 kJ/mol of formula units
Symmetry = P4/mmm
Calculated total energy = -3.239 eV per atom
Fermi-level density of states = 0.339 states/eV/atom

a b c (Å): 5.971 5.971 4.848
angles (deg): 90.00 90.00 90.00
Element x y z (fractional)
Zn (0.000, 0.000, 0.500)
Rh (0.000, 0.000, 0.000)
Ba (0.000, 0.500, 0.000)
Ba (0.500, 0.000, 0.000)
Ag (0.500, 0.500, 0.500)